The following is a DFT calculation (GGA-PBE) of a geometry-optimized ZnIrNO2 structure.

Results
As for the crystal system: tetragonal. The calculation puts the total DFT energy (no corrections) at -27.33 eV/cell. For the formation energy (no corrections), the calculation gives 0.209 eV per atom.

Lattice parameters (Å, degrees): 4.0386 4.0386 3.6949 90.00 90.00 90.00
Last column: nearest neighbours and their distance in Å.
Positions (direct):
Zn (0.0000, 0.0000, 0.0000)  8 O 2.74, 4 N 2.86
Ir (0.5000, 0.5000, 0.5000)  2 N 1.85, 4 O 2.02
N (0.5000, 0.5000, 0.0000)  2 Ir 1.85
O (0.0000, 0.5000, 0.5000)  2 Ir 2.02
O (0.5000, 0.0000, 0.5000)  2 Ir 2.02